Compound: TbMgSc2Hg4
Source: Alexandria via LeMat-Bulk
Functional: GGA-PBE
Structure: relaxed

Cell and atoms, written as extended XYZ:
```
8
Lattice="2.501 1.444 8.387 -2.501 1.444 8.387 0.000 -2.888 8.387" Properties=species:S:1:pos:R:3 pbc="T T T"
Tb 0.000 0.000 0.000
Mg 0.000 0.000 12.580
Sc 0.000 0.000 6.173
Sc 0.000 0.000 18.988
Hg 0.000 0.000 3.165
Hg 0.000 0.000 9.539
Hg 0.000 0.000 15.621
Hg 0.000 0.000 21.995
```

Results
**Size of the total moment**: 0.00 μB per atom
**Crystal system**: trigonal
**Formation energy**: -402 meV/atom

=====

Compound: TbMg2ScHg4
Source: Alexandria via LeMat-Bulk
Functional: GGA-PBE
Structure: relaxed

Cell and atoms, written as extended XYZ:
```
8
Lattice="2.496 1.441 8.208 -2.496 1.441 8.208 0.000 -2.883 8.208" Properties=species:S:1:pos:R:3 pbc="T T T"
Tb 0.000 0.000 0.000
Mg 0.000 0.000 6.140
Mg 0.000 0.000 18.484
Sc 0.000 0.000 12.312
Hg 0.000 0.000 3.148
Hg 0.000 0.000 9.337
Hg 0.000 0.000 15.287
Hg 0.000 0.000 21.476
```

Results
**Size of the total moment**: 0.00 μB per atom
**Crystal system**: trigonal
**Formation energy**: -424 meV/atom

=====

Compound: ThMgSc2Hg4
Source: Alexandria via LeMat-Bulk
Functional: GGA-PBE
Structure: relaxed

Cell and atoms, written as extended XYZ:
```
8
Lattice="2.453 1.416 9.083 -2.453 1.416 9.083 0.000 -2.832 9.083" Properties=species:S:1:pos:R:3 pbc="T T T"
Th 0.000 0.000 0.000
Mg 0.000 0.000 13.625
Sc 0.000 0.000 6.565
Sc 0.000 0.000 20.685
Hg 0.000 0.000 3.495
Hg 0.000 0.000 10.580
Hg 0.000 0.000 16.670
Hg 0.000 0.000 23.755
```

Results
**Size of the total moment**: 0.00 μB per atom
**Crystal system**: trigonal
**Formation energy**: -311 meV/atom

=====

Compound: ThMg2ScHg4
Source: Alexandria via LeMat-Bulk
Functional: GGA-PBE
Structure: relaxed

Cell and atoms, written as extended XYZ:
```
8
Lattice="2.499 1.443 8.536 -2.499 1.443 8.536 0.000 -2.886 8.536" Properties=species:S:1:pos:R:3 pbc="T T T"
Th 0.000 0.000 0.000
Mg 0.000 0.000 6.317
Mg 0.000 0.000 19.290
Sc 0.000 0.000 12.803
Hg 0.000 0.000 3.302
Hg 0.000 0.000 9.853
Hg 0.000 0.000 15.754
Hg 0.000 0.000 22.305
```

Results
**Size of the total moment**: 0.00 μB per atom
**Crystal system**: trigonal
**Formation energy**: -333 meV/atom

=====

Compound: MgScTiHg
Source: Alexandria via LeMat-Bulk
Functional: GGA-PBE
Structure: relaxed

Cell and atoms, written as extended XYZ:
```
16
Lattice="6.890 0.000 0.000 0.000 6.890 0.000 0.000 0.000 6.890" Properties=species:S:1:pos:R:3 pbc="T T T"
Mg 0.000 0.000 0.000
Mg 0.000 3.445 3.445
Mg 3.445 0.000 3.445
Mg 3.445 3.445 0.000
Sc 1.722 1.722 5.167
Sc 1.722 5.167 1.722
Sc 5.167 1.722 1.722
Sc 5.167 5.167 5.167
Ti 1.722 1.722 1.722
Ti 1.722 5.167 5.167
Ti 5.167 1.722 5.167
Ti 5.167 5.167 1.722
Hg 0.000 0.000 3.445
Hg 0.000 3.445 0.000
Hg 3.445 0.000 0.000
Hg 3.445 3.445 3.445
```

Results
**Size of the total moment**: 0.37 μB per atom
**Crystal system**: cubic
**Formation energy**: -37 meV/atom

=====

Compound: TmMgScHg
Source: Alexandria via LeMat-Bulk
Functional: GGA-PBE
Structure: relaxed

Cell and atoms, written as extended XYZ:
```
4
Lattice="3.668 0.000 0.000 0.000 3.668 0.000 0.000 0.000 7.090" Properties=species:S:1:pos:R:3 pbc="T T T"
Tm 0.000 0.000 0.000
Mg 1.834 1.834 1.927
Sc 0.000 0.000 3.608
Hg 1.834 1.834 5.248
```

Results
**Size of the total moment**: 0.00 μB per atom
**Crystal system**: tetragonal
**Offset from the most stable computed form**: 0 meV per atom
**Formation energy**: -253 meV/atom

=====

Compound: Tm2MgScHg4
Source: Alexandria via LeMat-Bulk
Functional: GGA-PBE
Structure: relaxed

Cell and atoms, written as extended XYZ:
```
8
Lattice="2.526 1.458 8.321 -2.526 1.458 8.321 0.000 -2.917 8.321" Properties=species:S:1:pos:R:3 pbc="T T T"
Tm 0.000 0.000 6.171
Tm 0.000 0.000 18.793
Mg 0.000 0.000 12.482
Sc 0.000 0.000 0.000
Hg 0.000 0.000 3.084
Hg 0.000 0.000 9.292
Hg 0.000 0.000 15.671
Hg 0.000 0.000 21.880
```

Results
**Size of the total moment**: 0.00 μB per atom
**Crystal system**: trigonal
**Formation energy**: -452 meV/atom

=====

Compound: TmMgScHg
Source: Alexandria via LeMat-Bulk
Functional: GGA-PBE
Structure: relaxed

Cell and atoms, written as extended XYZ:
```
16
Lattice="7.235 0.000 0.000 0.000 7.235 0.000 0.000 0.000 7.235" Properties=species:S:1:pos:R:3 pbc="T T T"
Tm 0.000 0.000 0.000
Tm 0.000 3.617 3.617
Tm 3.617 0.000 3.617
Tm 3.617 3.617 0.000
Mg 1.809 1.809 1.809
Mg 1.809 5.426 5.426
Mg 5.426 1.809 5.426
Mg 5.426 5.426 1.809
Sc 0.000 0.000 3.617
Sc 0.000 3.617 0.000
Sc 3.617 0.000 0.000
Sc 3.617 3.617 3.617
Hg 1.809 1.809 5.426
Hg 1.809 5.426 1.809
Hg 5.426 1.809 1.809
Hg 5.426 5.426 5.426
```

Results
**Size of the total moment**: 0.00 μB per atom
**Crystal system**: cubic
**Offset from the most stable computed form**: 15 meV per atom
**Formation energy**: -238 meV/atom

=====

Compound: TmMgSc2Hg4
Source: Alexandria via LeMat-Bulk
Functional: GGA-PBE
Structure: relaxed

Cell and atoms, written as extended XYZ:
```
8
Lattice="2.499 1.443 8.260 -2.499 1.443 8.260 0.000 -2.886 8.260" Properties=species:S:1:pos:R:3 pbc="T T T"
Tm 0.000 0.000 0.000
Mg 0.000 0.000 12.391
Sc 0.000 0.000 6.108
Sc 0.000 0.000 18.673
Hg 0.000 0.000 3.107
Hg 0.000 0.000 9.318
Hg 0.000 0.000 15.464
Hg 0.000 0.000 21.675
```

Results
**Size of the total moment**: 0.00 μB per atom
**Crystal system**: trigonal
**Formation energy**: -409 meV/atom

=====

Compound: MgZrScHg
Source: Alexandria via LeMat-Bulk
Functional: GGA-PBE
Structure: relaxed

Cell and atoms, written as extended XYZ:
```
16
Lattice="7.048 0.000 0.000 0.000 7.048 0.000 0.000 0.000 7.048" Properties=species:S:1:pos:R:3 pbc="T T T"
Mg 0.000 0.000 0.000
Mg 0.000 3.524 3.524
Mg 3.524 0.000 3.524
Mg 3.524 3.524 0.000
Zr 1.762 1.762 5.286
Zr 1.762 5.286 1.762
Zr 5.286 1.762 1.762
Zr 5.286 5.286 5.286
Sc 1.762 1.762 1.762
Sc 1.762 5.286 5.286
Sc 5.286 1.762 5.286
Sc 5.286 5.286 1.762
Hg 0.000 0.000 3.524
Hg 0.000 3.524 0.000
Hg 3.524 0.000 0.000
Hg 3.524 3.524 3.524
```

Results
**Size of the total moment**: 0.04 μB per atom
**Crystal system**: cubic
**Formation energy**: -108 meV/atom

=====

Compound: Mg2ZrScHg
Source: Alexandria via LeMat-Bulk
Functional: GGA-PBE
Structure: relaxed

Cell and atoms, written as extended XYZ:
```
5
Lattice="5.017 0.000 0.000 0.000 5.017 0.000 0.000 0.000 5.377" Properties=species:S:1:pos:R:3 pbc="T T T"
Mg 0.000 2.508 0.000
Mg 2.508 0.000 0.000
Zr 0.000 0.000 2.689
Sc 2.508 2.508 2.689
Hg 2.508 2.508 0.000
```

Results
**Size of the total moment**: 0.28 μB per atom
**Crystal system**: tetragonal
**Formation energy**: 508 meV/atom

=====

Compound: MgHgSe2
Source: Alexandria via LeMat-Bulk
Functional: GGA-PBE
Structure: relaxed

Cell and atoms, written as extended XYZ:
```
16
Lattice="7.516 0.000 0.000 0.000 8.634 0.000 0.000 0.000 7.086" Properties=species:S:1:pos:R:3 pbc="T T T"
Mg 0.622 1.078 0.000
Mg 3.136 5.395 3.543
Mg 4.380 3.239 0.000
Mg 6.894 7.556 3.543
Hg 0.653 5.385 7.076
Hg 3.105 1.068 3.533
Hg 4.411 7.566 7.076
Hg 6.863 3.249 3.533
Se 0.568 1.022 4.488
Se 0.674 5.461 4.365
Se 3.084 1.144 0.822
Se 3.190 5.339 0.945
Se 4.326 3.295 4.488
Se 4.432 7.490 4.365
Se 6.841 3.173 0.822
Se 6.947 7.612 0.945
```

Results
**Size of the total moment**: 0.00 μB per atom
**Formation energy without anion corrections**: -0.7198 eV per atom
**Crystal system**: orthorhombic
**Offset from the most stable computed form**: 3 meV per atom

=====

Compound: MgHgSe2
Source: Alexandria via LeMat-Bulk
Functional: GGA-PBE
Structure: relaxed

Cell and atoms, written as extended XYZ:
```
16
Lattice="7.071 0.000 0.000 0.000 7.071 0.000 0.000 0.000 7.071" Properties=species:S:1:pos:R:3 pbc="T T T"
Mg 0.000 0.000 0.000
Mg 0.000 3.535 3.535
Mg 3.535 0.000 3.535
Mg 3.535 3.535 0.000
Hg 1.768 1.768 5.303
Hg 1.768 5.303 1.768
Hg 5.303 1.768 1.768
Hg 5.303 5.303 5.303
Se 0.000 0.000 3.535
Se 0.000 3.535 0.000
Se 1.768 1.768 1.768
Se 1.768 5.303 5.303
Se 3.535 0.000 0.000
Se 3.535 3.535 3.535
Se 5.303 1.768 5.303
Se 5.303 5.303 1.768
```

Results
**Size of the total moment**: 0.00 μB per atom
**Formation energy without anion corrections**: 0.0054 eV per atom
**Crystal system**: cubic
**Offset from the most stable computed form**: 728 meV per atom

=====

Compound: MgHgSe2
Source: Alexandria via LeMat-Bulk
Functional: GGA-PBE
Structure: relaxed

Cell and atoms, written as extended XYZ:
```
8
Lattice="7.515 0.000 0.000 0.000 4.088 0.000 -1.170 0.000 7.394" Properties=species:S:1:pos:R:3 pbc="T T T"
Mg 0.000 0.000 0.000
Mg 3.758 2.044 0.000
Hg -0.585 2.044 3.697
Hg 3.173 0.000 3.697
Se 0.105 2.044 6.082
Se 2.483 0.000 1.311
Se 3.862 0.000 6.082
Se 6.241 2.044 1.311
```

Results
**Size of the total moment**: 0.00 μB per atom
**Formation energy without anion corrections**: -0.6569 eV per atom
**Crystal system**: monoclinic
**Offset from the most stable computed form**: 66 meV per atom

=====

Compound: MgHgSe2
Source: Alexandria via LeMat-Bulk
Functional: GGA-PBE
Structure: relaxed

Cell and atoms, written as extended XYZ:
```
16
Lattice="7.344 0.000 0.000 0.000 4.122 0.000 0.000 0.000 13.435" Properties=species:S:1:pos:R:3 pbc="T T T"
Mg 0.783 1.031 1.507
Mg 2.889 3.092 8.224
Mg 4.455 1.031 5.211
Mg 6.561 3.092 11.928
Hg 0.606 3.092 5.153
Hg 3.067 1.031 11.870
Hg 4.278 3.092 1.565
Hg 6.739 1.031 8.282
Se 0.505 3.092 9.618
Se 1.544 3.092 13.377
Se 2.128 1.031 6.660
Se 3.167 1.031 2.901
Se 4.177 3.092 10.534
Se 5.216 3.092 6.775
Se 5.800 1.031 0.057
Se 6.839 1.031 3.816
```

Results
**Size of the total moment**: 0.00 μB per atom
**Formation energy without anion corrections**: -0.5478 eV per atom
**Crystal system**: orthorhombic
**Offset from the most stable computed form**: 175 meV per atom

=====

Compound: MgHgSe2
Source: Alexandria via LeMat-Bulk
Functional: GGA-PBE
Structure: relaxed

Cell and atoms, written as extended XYZ:
```
16
Lattice="3.882 0.000 0.000 0.000 25.284 0.000 0.000 0.000 4.149" Properties=species:S:1:pos:R:3 pbc="T T T"
Mg 0.000 4.827 1.037
Mg 0.000 20.458 3.112
Mg 1.941 7.815 3.112
Mg 1.941 17.469 1.037
Hg 0.000 11.634 1.037
Hg 0.000 13.650 3.112
Hg 1.941 1.008 3.112
Hg 1.941 24.276 1.037
Se 0.000 7.541 1.037
Se 0.000 10.012 3.112
Se 0.000 15.273 1.037
Se 0.000 17.743 3.112
Se 1.941 2.631 1.037
Se 1.941 5.101 3.112
Se 1.941 20.183 1.037
Se 1.941 22.654 3.112
```

Results
**Size of the total moment**: 0.00 μB per atom
**Formation energy without anion corrections**: -0.4435 eV per atom
**Crystal system**: orthorhombic
**Offset from the most stable computed form**: 279 meV per atom

=====

Compound: MgHgSe2
Source: Alexandria via LeMat-Bulk
Functional: GGA-PBE
Structure: relaxed

Cell and atoms, written as extended XYZ:
```
12
Lattice="4.364 0.000 0.000 -2.182 3.780 0.000 0.000 0.000 25.733" Properties=species:S:1:pos:R:3 pbc="T T T"
Mg 0.000 0.000 0.000
Mg 0.000 2.520 17.156
Mg 2.182 1.260 8.578
Hg 0.000 0.000 4.362
Hg 0.000 2.520 21.517
Hg 2.182 1.260 12.939
Se 0.000 0.000 12.315
Se 0.000 0.000 16.983
Se 0.000 2.520 3.738
Se 0.000 2.520 8.405
Se 2.182 1.260 20.893
Se 2.182 1.260 25.560
```

Results
**Size of the total moment**: 0.00 μB per atom
**Formation energy without anion corrections**: -0.4887 eV per atom
**Crystal system**: trigonal
**Offset from the most stable computed form**: 234 meV per atom

=====

Compound: MgHg2Se
Source: Alexandria via LeMat-Bulk
Functional: GGA-PBE
Structure: relaxed

Cell and atoms, written as extended XYZ:
```
8
Lattice="18.420 0.000 0.000 0.000 3.668 0.000 -0.748 0.000 3.645" Properties=species:S:1:pos:R:3 pbc="T T T"
Mg 0.000 0.000 0.000
Mg 9.210 1.834 0.000
Hg 3.307 1.834 0.685
Hg 5.154 0.000 2.960
Hg 12.517 0.000 0.685
Hg 14.365 1.834 2.960
Se -0.374 1.834 1.823
Se 8.836 0.000 1.823
```

Results
**Size of the total moment**: 0.00 μB per atom
**Formation energy without anion corrections**: -0.4310 eV per atom
**Crystal system**: monoclinic

=====

Compound: MgHgSe2
Source: Alexandria via LeMat-Bulk
Functional: GGA-PBE
Structure: relaxed

Cell and atoms, written as extended XYZ:
```
8
Lattice="4.036 0.000 0.000 0.000 4.774 0.000 0.000 0.000 10.444" Properties=species:S:1:pos:R:3 pbc="T T T"
Mg 0.000 0.000 0.000
Mg 2.018 2.387 0.000
Hg 0.000 0.000 5.222
Hg 2.018 2.387 5.222
Se 0.000 2.387 1.849
Se 0.000 2.387 8.596
Se 2.018 0.000 1.849
Se 2.018 0.000 8.596
```

Results
**Size of the total moment**: 0.00 μB per atom
**Formation energy without anion corrections**: -0.3013 eV per atom
**Crystal system**: orthorhombic
**Offset from the most stable computed form**: 421 meV per atom

=====

Compound: MgHgSe2
Source: Alexandria via LeMat-Bulk
Functional: GGA-PBE
Structure: relaxed

Cell and atoms, written as extended XYZ:
```
8
Lattice="4.259 0.000 0.000 0.000 4.682 0.000 0.000 0.000 9.840" Properties=species:S:1:pos:R:3 pbc="T T T"
Mg 0.000 0.000 0.000
Mg 2.129 2.341 0.000
Hg 0.000 2.341 2.275
Hg 2.129 0.000 2.275
Se 0.000 0.000 4.583
Se 0.000 2.341 8.294
Se 2.129 0.000 8.294
Se 2.129 2.341 4.583
```

Results
**Size of the total moment**: 0.00 μB per atom
**Formation energy without anion corrections**: -0.0912 eV per atom
**Crystal system**: orthorhombic
**Offset from the most stable computed form**: 631 meV per atom